Entry from Alexandria via LeMat-Bulk: a geometry-optimized TaIn2Cl8 structure (PBE-GGA).

As for the uncorrected formation energy: -11.87 eV/f.u. Its density of states at the Fermi level is 3.6 states/eV/f.u.

It has space group C2/m (No. 12), with a = 12.8154 Å, b = 9.4014 Å, c = 5.7337 Å, α = 90.00°, β = 95.91° and γ = 90.00°. The inequivalent atoms are Ta at (0.0000, 0.0000, 0.0000), In at (0.1114, 0.5000, 0.7851), Cl at (0.0821, 0.1772, 0.7853), Cl at (0.1091, 0.5000, 0.2739) and Cl at (0.1477, 0.0000, 0.2826).